ScNiAgF6 PBE+U optimized geometry; electronic total energy = -5.233 eV per atom; total magnetization = 3.78 Bohr magnetons per cell
1.0
5.4629 0.0000 0.0000
-2.7315 4.7310 0.0000
0.0000 0.0000 10.3039
Sc Ni Ag F
2 2 2 12
direct
0.3333 0.6667 0.2500
0.6667 0.3333 0.7500
0.3333 0.6667 0.7500
0.6667 0.3333 0.2500
0.0000 0.0000 0.0000
0.0000 0.0000 0.5000
0.0012 0.3713 0.6446
0.0012 0.6298 0.8554
0.3702 0.3713 0.8554
0.3702 0.9988 0.6446
0.3713 0.0012 0.1446
0.3713 0.3702 0.3554
0.6287 0.6298 0.6446
0.6287 0.9988 0.8554
0.6298 0.0012 0.3554
0.6298 0.6287 0.1446
0.9988 0.3702 0.1446
0.9988 0.6287 0.3554